First-principles (PBE+U) data for CrCuIrF2 after structural relaxation, as listed in the Alexandria database.

The calculated density comes out at 6802 kg/m³. The value obtained for the uncorrected energy is -26.7 eV per cell.

The space group is P4/mmm (No. 123) and the conventional cell measures 3.753, 3.753 and 5.992 Å, with angles of 90.00, 90.00 and 90.00 degrees. The asymmetric unit holds Cr at (0.000, 0.000, 0.000), Cu at (0.000, 0.000, 0.500), Ir at (0.500, 0.500, 0.500) and F at (0.000, 0.500, 0.000).